# 1
ScAgN2F after structural relaxation. Source: Alexandria, functional GGA-PBE.

Results
- raw total energy (eV/atom) = -5.100
- formation energy (no corrections) (eV per atom) = 0.44
- space group = P4/mmm
- density of states at the Fermi level (states/eV/atom) = 0.54

Cell lengths 4.0553, 4.0553, 4.0650 Å; angles 90.00, 90.00, 90.00 degrees
Last column: nearest neighbours and their distance in Å.
Fractional coordinates of all 5 atoms:
Sc (0.0000, 0.0000, 0.0000)  4 F 2.87, 8 N 2.87
Ag (0.5000, 0.5000, 0.5000)  4 N 2.03, 2 F 2.03
N (0.0000, 0.5000, 0.5000)  2 Ag 2.03
N (0.5000, 0.0000, 0.5000)  2 Ag 2.03
F (0.5000, 0.5000, 0.0000)  2 Ag 2.03

# 2
HgPdS after structural relaxation. Source: Alexandria, functional GGA-PBE.

Results
- raw total energy (eV/atom) = -3.353
- formation energy (no corrections) (eV per atom) = -0.15
- space group = P1
- density of states at the Fermi level (states/eV/atom) = 0.33

Cell lengths 3.4953, 5.7803, 6.4116 Å; angles 84.53, 75.65, 82.63 degrees
Last column: nearest neighbours and their distance in Å.
Fractional coordinates of all 6 atoms:
Hg (0.0000, 0.0000, 0.0000)  1 S 2.69, 2 Pd 2.79-2.80
Hg (0.3674, 0.9229, 0.5077)  3 Pd 2.82-2.94, 1 S 3.11, 1 Hg 3.15
Pd (0.3548, 0.4133, 0.5805)  4 S 2.36-2.43
Pd (0.5052, 0.6461, 0.1513)  3 S 2.41-2.51
S (0.7330, 0.4199, 0.8383)  3 Pd 2.36-2.41
S (0.9789, 0.3808, 0.3138)  4 Pd 2.41-2.51